1.
Material: PaVN
Method: DFT, PBE
State: relaxed

For the energy relative to the elements, uncorrected, the calculation gives -0.018 eV/atom. As for the magnetization: 12.654 μB/cell. The relative energy among the computed polymorphs is 642 meV/atom. Its density is 10.71 g/cm3. For the density of states at the Fermi level, the calculation gives 17.3 states/eV/cell.

It has space group F-43m (No. 216), with a = 5.683 Å, b = 5.683 Å, c = 5.683 Å, α = 90.00°, β = 90.00° and γ = 90.00°. The distinct sites, in fractional coordinates, are Pa at (0.000, 0.000, 0.000), V at (0.000, 0.000, 0.500) and N at (0.250, 0.250, 0.750).


2.
Material: Pa6VN12
Method: DFT, PBE
State: relaxed

For the energy relative to the elements, uncorrected, the calculation gives -1.455 eV/atom. As for the magnetization: 0.000 μB/cell. Its density is 10.04 g/cm3. For the density of states at the Fermi level, the calculation gives 32.9 states/eV/cell.

It has space group R-3 (No. 148, hexagonal axes), with a = 9.8735 Å, b = 9.8735 Å, c = 9.4378 Å, α = 90.00°, β = 90.00° and γ = 120.00°. The distinct sites, in fractional coordinates, are Pa at (0.0526, 0.2594, 0.1583), V at (0.0000, 0.0000, 0.5000), N at (0.0348, 0.2277, 0.9029) and N at (0.0415, 0.1987, 0.3945).


3.
Material: PaV3N
Method: DFT, PBE
State: relaxed

For the energy relative to the elements, uncorrected, the calculation gives -0.277 eV/atom. As for the magnetization: 3.957 μB/cell. Its density is 9.38 g/cm3. For the density of states at the Fermi level, the calculation gives 4.7 states/eV/cell.

It has space group Pm-3m (No. 221), with a = 4.130 Å, b = 4.130 Å, c = 4.130 Å, α = 90.00°, β = 90.00° and γ = 90.00°. The distinct sites, in fractional coordinates, are Pa at (0.000, 0.000, 0.000), V at (0.000, 0.500, 0.500) and N at (0.500, 0.500, 0.500).


4.
Material: PaV2N
Method: DFT, PBE
State: relaxed

For the energy relative to the elements, uncorrected, the calculation gives 0.008 eV/atom. As for the magnetization: 0.000 μB/cell. Its density is 10.59 g/cm3. For the density of states at the Fermi level, the calculation gives 2.6 states/eV/cell.

It has space group P4/mmm (No. 123), with a = 2.726 Å, b = 2.726 Å, c = 7.323 Å, α = 90.00°, β = 90.00° and γ = 90.00°. The distinct sites, in fractional coordinates, are Pa at (0.000, 0.000, 0.000), V at (0.500, 0.500, 0.343) and N at (0.000, 0.000, 0.500).


5.
Material: Pa2VZnN5
Method: DFT, PBE
State: relaxed

For the energy relative to the elements, uncorrected, the calculation gives -1.035 eV/atom. As for the magnetization: 0.969 μB/cell. Its density is 10.08 g/cm3. For the density of states at the Fermi level, the calculation gives 18.8 states/eV/cell.

It has space group Cmc2_1 (No. 36), with a = 3.290 Å, b = 13.658 Å, c = 9.511 Å, α = 90.00°, β = 90.00° and γ = 90.00°. The distinct sites, in fractional coordinates, are Pa at (0.000, 0.127, 0.000), Pa at (0.000, 0.133, 0.582), V at (0.000, 0.211, 0.295), Zn at (0.000, 0.487, 0.776), N at (0.000, 0.078, 0.330), N at (0.000, 0.287, 0.946), N at (0.000, 0.295, 0.651), N at (0.000, 0.360, 0.299) and N at (0.000, 0.499, 0.559).


6.
Material: ZrPa2VN5
Method: DFT, PBE
State: relaxed

For the energy relative to the elements, uncorrected, the calculation gives -1.446 eV/atom. As for the magnetization: 0.002 μB/cell. Its density is 10.01 g/cm3. For the density of states at the Fermi level, the calculation gives 22.2 states/eV/cell.

It has space group Cmc2_1 (No. 36), with a = 3.315 Å, b = 13.281 Å, c = 10.165 Å, α = 90.00°, β = 90.00° and γ = 90.00°. The distinct sites, in fractional coordinates, are Zr at (0.000, 0.207, 0.000), Pa at (0.000, 0.109, 0.682), Pa at (0.000, 0.143, 0.295), V at (0.000, 0.477, 0.462), N at (0.000, 0.045, 0.057), N at (0.000, 0.282, 0.659), N at (0.000, 0.325, 0.357), N at (0.000, 0.373, 0.000) and N at (0.000, 0.485, 0.778).


7.
Material: Zr2PaVN4
Method: DFT, PBE
State: relaxed

For the energy relative to the elements, uncorrected, the calculation gives -1.412 eV/atom. As for the magnetization: 1.382 μB/cell. Its density is 8.69 g/cm3. For the density of states at the Fermi level, the calculation gives 4.4 states/eV/cell.

It has space group P2/m (No. 10), with a = 5.560 Å, b = 3.318 Å, c = 5.700 Å, α = 90.00°, β = 109.05° and γ = 90.00°. The distinct sites, in fractional coordinates, are Zr at (0.000, 0.000, 0.000), Zr at (0.500, 0.500, 0.000), Pa at (0.000, 0.500, 0.500), V at (0.500, 0.000, 0.500), N at (0.260, 0.500, 0.258) and N at (0.263, 0.000, 0.754).


8.
Material: Pa3WN6
Method: DFT, PBE
State: relaxed

For the energy relative to the elements, uncorrected, the calculation gives -1.383 eV/atom. As for the magnetization: 2.077 μB/cell. Its density is 11.40 g/cm3. For the density of states at the Fermi level, the calculation gives 23.0 states/eV/cell.

It has space group Cmc2_1 (No. 36), with a = 9.331 Å, b = 10.963 Å, c = 5.471 Å, α = 90.00°, β = 90.00° and γ = 90.00°. The distinct sites, in fractional coordinates, are Pa at (0.000, 0.110, 0.000), Pa at (0.204, 0.388, 0.948), W at (0.000, 0.355, 0.433), N at (0.000, 0.280, 0.766), N at (0.000, 0.486, 0.162), N at (0.147, 0.250, 0.251) and N at (0.152, 0.012, 0.723).


9.
Material: PaWN4
Method: DFT, PBE
State: relaxed

For the energy relative to the elements, uncorrected, the calculation gives -0.575 eV/atom. As for the magnetization: 0.000 μB/cell. Its density is 9.72 g/cm3. For the density of states at the Fermi level, the calculation gives 6.7 states/eV/cell.

It has space group P2_1/c (No. 14), with a = 5.823 Å, b = 4.965 Å, c = 5.967 Å, α = 90.00°, β = 111.19° and γ = 90.00°. The distinct sites, in fractional coordinates, are Pa at (0.000, 0.000, 0.000), W at (0.500, 0.000, 0.500), N at (0.165, 0.159, 0.373) and N at (0.383, 0.713, 0.687).


10.
Material: Pa2WN5
Method: DFT, PBE
State: relaxed

For the energy relative to the elements, uncorrected, the calculation gives -1.217 eV/atom. As for the magnetization: 0.000 μB/cell. Its density is 10.10 g/cm3. For the density of states at the Fermi level, the calculation gives 18.6 states/eV/cell.

It has space group P2_1/c (No. 14), with a = 9.513 Å, b = 7.155 Å, c = 6.967 Å, α = 90.00°, β = 96.74° and γ = 90.00°. The distinct sites, in fractional coordinates, are Pa at (0.021, 0.121, 0.240), Pa at (0.344, 0.143, 0.969), W at (0.297, 0.606, 0.974), N at (0.096, 0.646, 0.956), N at (0.101, 0.117, 0.912), N at (0.274, 0.082, 0.273), N at (0.362, 0.074, 0.653) and N at (0.411, 0.672, 0.489).


11.
Material: Pa3WN7
Method: DFT, PBE
State: relaxed

For the energy relative to the elements, uncorrected, the calculation gives -1.340 eV/atom. As for the magnetization: 0.000 μB/cell. Its density is 10.74 g/cm3.

It has space group C222_1 (No. 20), with a = 7.542 Å, b = 10.643 Å, c = 7.511 Å, α = 90.00°, β = 90.00° and γ = 90.00°. The distinct sites, in fractional coordinates, are Pa at (0.026, 0.000, 0.000), Pa at (0.233, 0.267, 0.758), W at (0.020, 0.500, 0.000), N at (0.000, 0.125, 0.250), N at (0.000, 0.138, 0.750), N at (0.000, 0.431, 0.750), N at (0.194, 0.374, 0.042) and N at (0.224, 0.373, 0.482).


12.
Material: PaWN3
Method: DFT, PBE
State: relaxed

For the energy relative to the elements, uncorrected, the calculation gives -0.768 eV/atom. As for the magnetization: 0.724 μB/cell. Its density is 12.19 g/cm3. For the density of states at the Fermi level, the calculation gives 5.7 states/eV/cell.

It has space group Pm-3m (No. 221), with a = 3.963 Å, b = 3.963 Å, c = 3.963 Å, α = 90.00°, β = 90.00° and γ = 90.00°. The distinct sites, in fractional coordinates, are Pa at (0.000, 0.000, 0.000), W at (0.500, 0.500, 0.500) and N at (0.000, 0.500, 0.500).


- The highest magnetization belongs to which entry?
  PaVN


- Which value of energy relative to the elements, uncorrected does entry 4 give?
  0.008 eV/atom